A plane-wave DFT calculation with PBE was carried out for a relaxed Sm2Zn5Pd2Rh crystal.

Calculated values
**SG**: P4/mbm
**ΔH_f (0 K)**: -0.458 eV per atom
**Volume**: 18.313 Å³/atom

Cell: 3.8458 9.7590 9.7590 Å, 90.00 90.00 90.00°
Fractional positions:
Sm (0.0000, 0.6810, 0.1810)
Sm (0.0000, 0.3190, 0.8190)
Sm (0.0000, 0.1810, 0.3190)
Sm (0.0000, 0.8190, 0.6810)
Zn (0.5000, 0.1872, 0.0512)
Zn (0.5000, 0.8128, 0.9488)
Zn (0.5000, 0.0512, 0.8128)
Zn (0.5000, 0.6872, 0.4488)
Zn (0.5000, 0.9488, 0.1872)
Zn (0.5000, 0.3128, 0.5512)
Zn (0.5000, 0.5512, 0.6872)
Zn (0.5000, 0.4488, 0.3128)
Zn (0.5000, 0.5000, 0.0000)
Zn (0.5000, 0.0000, 0.5000)
Pd (0.0000, 0.1191, 0.6191)
Pd (0.0000, 0.8809, 0.3809)
Pd (0.0000, 0.6191, 0.8809)
Pd (0.0000, 0.3809, 0.1191)
Rh (0.0000, 0.0000, 0.0000)
Rh (0.0000, 0.5000, 0.5000)

A plane-wave DFT calculation with PBE was carried out for a relaxed SmZrPdRh crystal.

Calculated values
**SG**: F-43m
**ΔH_f (0 K)**: -0.630 eV per atom
**Volume**: 20.149 Å³/atom

Cell: 4.8485 4.8485 4.8485 Å, 60.00 60.00 60.00°
Fractional positions:
Zr (0.2500, 0.2500, 0.2500)
Rh (0.5000, 0.5000, 0.5000)
Pd (0.0000, 0.0000, 0.0000)
Sm (0.7500, 0.7500, 0.7500)